Record 1
V2SnCl6 | PBE | relaxed

Calculated values
Formation energy (no corrections): -0.963 eV per atom
Polymorph energy (0 for the lowest one): 93 meV/atom

Geometry as CIF:
```
data_V2SnCl6
_chemical_formula_sum 'V8 Sn4 Cl24'
_cell_length_a 14.569
_cell_length_b 9.322
_cell_length_c 6.996
_cell_angle_alpha 90.00
_cell_angle_beta 103.97
_cell_angle_gamma 90.00
_symmetry_space_group_name_H-M 'C 1 2/c 1'
_symmetry_Int_Tables_number 15
loop_
_symmetry_equiv_pos_as_xyz
'x,y,z'
'-x,-y,-z'
'-x,y,-z+1/2'
'x,-y,z+1/2'
'x+1/2,y+1/2,z'
'-x+1/2,-y+1/2,-z'
'-x+1/2,y+1/2,-z+1/2'
'x+1/2,-y+1/2,z+1/2'
loop_
_atom_site_label
_atom_site_fract_x
_atom_site_fract_y
_atom_site_fract_z
V1 0.237 0.033 0.245
Sn1 0.000 0.353 0.250
Cl1 0.096 0.400 0.657
Cl2 0.125 0.010 0.441
Cl3 0.196 0.290 0.209
```

=====

Record 2
VSn2Cl2 | PBE | relaxed

Calculated values
Formation energy (no corrections): 0.232 eV per atom
Polymorph energy (0 for the lowest one): 29 meV/atom

Geometry as CIF:
```
data_VSn2Cl2
_chemical_formula_sum 'V2 Sn4 Cl4'
_cell_length_a 3.916
_cell_length_b 3.916
_cell_length_c 19.457
_cell_angle_alpha 90.00
_cell_angle_beta 90.00
_cell_angle_gamma 90.00
_symmetry_space_group_name_H-M 'I 4/m m m'
_symmetry_Int_Tables_number 139
_symmetry_space_group_name_Hall '-I 4 2'
loop_
_atom_site_label
_atom_site_fract_x
_atom_site_fract_y
_atom_site_fract_z
V1 0.000 0.000 0.000
Sn1 0.000 0.500 0.250
Cl1 0.000 0.000 0.423
```

=====

Record 3
VZnSnCl2 | PBE | relaxed

Calculated values
Formation energy (no corrections): -0.040 eV per atom

Geometry as CIF:
```
data_VZnSnCl2
_chemical_formula_sum 'V1 Zn1 Sn1 Cl2'
_cell_length_a 4.504
_cell_length_b 4.504
_cell_length_c 5.592
_cell_angle_alpha 90.00
_cell_angle_beta 90.00
_cell_angle_gamma 90.00
_symmetry_space_group_name_H-M 'P 4/m m m'
_symmetry_Int_Tables_number 123
_symmetry_space_group_name_Hall '-P 4 2'
loop_
_atom_site_label
_atom_site_fract_x
_atom_site_fract_y
_atom_site_fract_z
V1 0.000 0.000 0.000
Zn1 0.000 0.000 0.500
Sn1 0.500 0.500 0.500
Cl1 0.000 0.500 0.000
```

=====

Record 4
SnW2Cl | PBE | relaxed

Calculated values
Formation energy (no corrections): 1.114 eV per atom
Polymorph energy (0 for the lowest one): 0 meV/atom

Geometry as CIF:
```
data_SnW2Cl
_chemical_formula_sum 'Sn4 W8 Cl4'
_cell_length_a 4.387
_cell_length_b 4.387
_cell_length_c 16.924
_cell_angle_alpha 90.00
_cell_angle_beta 90.00
_cell_angle_gamma 90.00
_symmetry_space_group_name_H-M 'I -4 2 d'
_symmetry_Int_Tables_number 122
_symmetry_space_group_name_Hall 'I -4 2bw'
loop_
_atom_site_label
_atom_site_fract_x
_atom_site_fract_y
_atom_site_fract_z
Sn1 0.000 0.000 0.000
W1 0.166 0.250 0.625
Cl1 0.000 0.000 0.500
```

=====

Record 5
Sn2W3Cl14 | PBE | relaxed

Calculated values
Formation energy (no corrections): -0.885 eV per atom

Geometry as CIF:
```
data_Sn2W3Cl14
_chemical_formula_sum 'Sn4 W6 Cl28'
_cell_length_a 9.7279
_cell_length_b 9.7279
_cell_length_c 13.1068
_cell_angle_alpha 90.00
_cell_angle_beta 90.00
_cell_angle_gamma 120.00
_symmetry_space_group_name_H-M 'P 63'
_symmetry_Int_Tables_number 173
loop_
_symmetry_equiv_pos_as_xyz
'x,y,z'
'x-y,x,z+1/2'
'-y,x-y,z'
'-x,-y,z+1/2'
'-x+y,-x,z'
'y,-x+y,z+1/2'
loop_
_atom_site_label
_atom_site_fract_x
_atom_site_fract_y
_atom_site_fract_z
Sn1 0.0000 0.0000 0.0000
Sn2 0.3333 0.6667 0.0490
W1 0.1474 0.5964 0.5775
Cl1 0.0000 0.0000 0.3163
Cl2 0.0203 0.6403 0.9825
Cl3 0.0325 0.7150 0.4716
Cl4 0.0969 0.4891 0.1834
Cl5 0.1943 0.4438 0.7039
Cl6 0.3333 0.6667 0.4378
```

=====

Record 6
SnWCl3 | PBE | relaxed

Calculated values
Formation energy (no corrections): 0.238 eV per atom
Polymorph energy (0 for the lowest one): 0 meV/atom

Geometry as CIF:
```
data_SnWCl3
_chemical_formula_sum 'Sn1 W1 Cl3'
_cell_length_a 4.936
_cell_length_b 4.936
_cell_length_c 4.936
_cell_angle_alpha 90.00
_cell_angle_beta 90.00
_cell_angle_gamma 90.00
_symmetry_space_group_name_H-M 'P m -3 m'
_symmetry_Int_Tables_number 221
_symmetry_space_group_name_Hall '-P 4 2 3'
loop_
_atom_site_label
_atom_site_fract_x
_atom_site_fract_y
_atom_site_fract_z
Sn1 0.000 0.000 0.000
W1 0.500 0.500 0.500
Cl1 0.000 0.500 0.500
```

=====

Q: Which formula does entry 4 have?
A: SnW2Cl

=====

Q: Look up the formation energy (no corrections) of the first one.
A: -0.963 eV per atom

=====

Q: The lowest formation energy (no corrections) belongs to which entry?
A: V2SnCl6

=====

Q: formation energy (no corrections) of number 2 (VSn2Cl2)?
A: 0.232 eV per atom